Record 1
Tm2Pd2Pt, optimized geometry, DFT PBE; theoretical density = 11.526 g/cm3; space-group type = Ibam; crystal system = orthorhombic; energy of formation = -0.85 eV per atom; E above lowest polymorph = 26 kJ/mol of formula units; final energy = -5.9287 eV per atom
1.0
-3.027 6.308 2.814
3.027 -6.308 2.814
3.027 6.308 -2.814
Tm Pd Pt
4 4 2
Cartesian
1.382 2.028 0.000
1.382 -2.028 2.814
1.645 8.336 0.000
1.645 4.279 2.814
4.109 1.443 0.000
1.082 4.865 0.000
1.945 1.443 2.814
-1.082 4.865 2.814
0.000 0.000 1.407
0.000 0.000 4.221



Record 2
ThU2WC4, optimized geometry, DFT PBE; theoretical density = 12.577 g/cm3; space-group type = Cmcm; crystal system = orthorhombic; energy of formation = -0.04 eV per atom; final energy = -10.0215 eV per atom
1.0
1.773 -6.003 0.000
1.773 6.003 0.000
0.000 0.000 11.660
Th U W C
2 4 2 8
Cartesian
1.773 4.619 8.745
1.773 -4.619 2.915
1.773 1.556 6.366
1.773 1.556 11.124
1.773 -1.556 0.536
1.773 -1.556 5.294
1.773 4.245 2.915
1.773 -4.245 8.745
0.000 0.000 0.000
0.000 0.000 5.830
1.773 2.851 1.375
1.773 2.851 4.455
1.773 0.584 8.745
1.773 -0.584 2.915
1.773 -2.851 7.205
1.773 -2.851 10.285



Record 3
Sc2AlCrH, optimized geometry, DFT PBE; theoretical density = 3.747 g/cm3; space-group type = P4/mmm; crystal system = tetragonal; final energy = -6.0867 eV per atom
1.0
4.477 0.000 0.000
0.000 4.477 0.000
0.000 0.000 3.757
Sc Al Cr H
2 1 1 1
Cartesian
0.000 2.238 0.000
2.238 0.000 0.000
0.000 0.000 1.879
2.238 2.238 1.879
2.238 2.238 0.000



Record 4
Tb5NdY12, optimized geometry, DFT PBE; theoretical density = 5.730 g/cm3; space-group type = P2/m; crystal system = monoclinic; energy of formation = 0.02 eV per atom; final energy = -5.8389 eV per atom
1.0
10.716 0.000 0.000
0.000 5.055 0.000
-0.023 0.000 10.730
Tb Nd Y
5 1 12
Cartesian
0.000 0.000 0.000
1.764 2.527 8.944
3.546 0.000 7.164
7.147 0.000 3.566
8.929 2.527 1.786
5.347 2.527 5.365
-0.009 0.000 7.167
1.773 2.527 1.779
1.769 2.527 5.373
3.536 0.000 10.723
3.561 0.000 3.573
5.331 2.527 8.947
5.362 2.527 1.783
7.132 0.000 7.157
7.157 0.000 0.007
8.924 2.527 5.357
8.920 2.527 8.951
10.702 0.000 3.563



Record 5
Al3RuCl, optimized geometry, DFT PBE; E_form (uncorrected) = -0.20 eV/atom; theoretical density = 3.312 g/cm3; space-group type = Pm-3m; crystal system = cubic; E above lowest polymorph = 0 kJ/mol of formula units; final energy = -4.6725 eV per atom
1.0
4.777 0.000 0.000
0.000 4.777 0.000
0.000 0.000 4.777
Al Ru Cl
3 1 1
Cartesian
0.000 0.000 2.389
0.000 2.389 0.000
2.389 0.000 0.000
0.000 0.000 0.000
2.389 2.389 2.389



Record 6
Er8TeSe6, optimized geometry, DFT PBE; E_form (uncorrected) = -1.30 eV/atom; theoretical density = 8.474 g/cm3; space-group type = P-3; crystal system = trigonal; final energy = -5.3411 eV per atom
1.0
10.429 0.000 0.000
-5.214 9.031 0.000
0.000 0.000 4.035
Er Te Se
8 1 6
Cartesian
-3.326 6.432 1.040
1.307 2.935 1.040
3.195 0.336 2.995
0.000 6.021 3.016
5.214 3.010 1.019
2.019 8.696 1.040
3.907 6.096 2.995
8.540 2.599 2.995
0.000 0.000 2.018
-1.153 4.360 0.997
-0.862 7.850 0.997
3.199 3.178 3.038
2.015 5.853 0.997
6.076 1.181 3.038
6.367 4.672 3.038



Record 7
Mg2Zn2CdAg2, optimized geometry, DFT PBE; theoretical density = 4.448 g/cm3; space-group type = P-3m1; crystal system = trigonal; energy of formation = 0.19 eV per atom; final energy = -1.5730 eV per atom
1.0
4.426 0.000 0.000
-2.213 3.833 0.000
0.000 0.000 11.171
Mg Zn Cd Ag
2 2 1 2
Cartesian
0.000 0.000 2.650
0.000 0.000 8.521
0.000 2.555 10.213
2.213 1.278 0.957
0.000 0.000 5.585
0.000 2.555 1.683
2.213 1.278 9.488



Record 8
Ru2PbSe, optimized geometry, DFT PBE; E_form (uncorrected) = 0.39 eV/atom; theoretical density = 11.829 g/cm3; space-group type = P4/mmm; crystal system = tetragonal; E above lowest polymorph = 62 kJ/mol of formula units; final energy = -6.0435 eV per atom
1.0
3.172 0.000 0.000
0.000 3.172 0.000
0.000 0.000 6.812
Ru Pb Se
2 1 1
Cartesian
0.000 0.000 1.455
0.000 0.000 5.357
1.586 1.586 3.406
1.586 1.586 0.000



Record 9
Cs2LiTl6, optimized geometry, DFT PBE; theoretical density = 6.987 g/cm3; space-group type = C2/m; crystal system = monoclinic; energy of formation = -0.05 eV per atom; final energy = -2.0333 eV per atom
1.0
6.978 -5.134 0.000
6.978 5.134 0.000
-0.006 0.000 4.972
Cs Li Tl
2 1 6
Cartesian
2.310 0.000 2.482
11.640 0.000 2.491
6.978 0.000 0.000
4.845 1.752 4.971
6.975 1.630 2.486
9.105 1.752 0.001
4.845 -1.752 4.971
6.975 -1.630 2.486
9.105 -1.752 0.001



Record 10
K2RhPb, optimized geometry, DFT PBE; theoretical density = 4.463 g/cm3; space-group type = Amm2; crystal system = orthorhombic; energy of formation = 0.15 eV per atom; final energy = -3.1685 eV per atom
1.0
4.179 0.000 0.000
0.000 2.770 6.240
0.000 -2.770 6.240
K Rh Pb
2 1 1
Cartesian
0.000 0.000 0.000
2.089 0.000 3.644
2.089 0.000 7.147
0.000 0.000 8.725



Record 11
ReHg2As, optimized geometry, DFT PBE; theoretical density = 8.359 g/cm3; space-group type = I-42d; crystal system = tetragonal; energy of formation = 0.57 eV per atom; final energy = -3.8589 eV per atom
1.0
-5.295 5.295 2.346
5.295 -5.295 2.346
5.295 5.295 -2.346
Re Hg As
2 4 2
Cartesian
0.000 0.000 0.000
0.000 5.295 1.173
0.007 2.648 0.587
-2.648 5.289 1.760
-0.007 7.943 0.587
2.648 5.302 1.760
5.295 0.000 1.173
0.000 0.000 2.346



Record 12
Ac3CuP2Pt9, optimized geometry, DFT PBE; theoretical density = 13.434 g/cm3; space-group type = P-3m1; crystal system = trigonal; energy of formation = -0.77 eV per atom; final energy = -6.2133 eV per atom
1.0
5.924 0.000 0.000
-2.962 5.130 0.000
0.000 0.000 10.421
Ac Cu P Pt
3 1 2 9
Cartesian
0.000 0.000 0.000
0.000 3.420 6.224
2.962 1.710 4.197
0.000 0.000 5.210
0.000 3.420 1.680
2.962 1.710 8.741
-1.481 2.565 0.000
0.000 1.641 3.205
-1.541 4.310 3.205
1.421 0.821 7.216
2.962 0.000 0.000
1.481 2.565 0.000
1.541 4.310 3.205
4.503 0.821 7.216
2.962 3.489 7.216